(1)
{"formula": "Cd6SnHg5", "functional": "PBE", "state": "relaxed", "lattice_angstrom": [[2.580, -7.706, 0.000], [2.580, 7.706, 0.000], [-0.280, 0.000, 7.452]], "species": ["Cd", "Cd", "Cd", "Cd", "Cd", "Cd", "Sn", "Hg", "Hg", "Hg", "Hg", "Hg"], "frac_coords": [[0.169, 0.830, 0.750], [0.170, 0.831, 0.250], [0.498, 0.498, 0.737], [0.502, 0.502, 0.263], [0.830, 0.169, 0.750], [0.831, 0.170, 0.250], [0.000, 0.000, 0.000], [0.000, 0.000, 0.500], [0.331, 0.669, 0.500], [0.336, 0.664, 0.000], [0.664, 0.336, 0.000], [0.669, 0.331, 0.500]], "ef_ev_per_fu": 0.52, "relative_energy_mev_per_atom": 19, "space_group": "C2/m (12)", "e_tot_ev_per_cell": -10.48, "vol_a3_per_atom": 24.7, "crystal_system": "monoclinic"}

=====

(2)
{"formula": "Cd5SnHg", "functional": "PBE", "state": "relaxed", "lattice_angstrom": [[3.523, -4.578, 0.000], [3.523, 4.578, 0.000], [-3.223, 0.000, 10.636]], "species": ["Cd", "Cd", "Cd", "Cd", "Cd", "Cd", "Cd", "Cd", "Cd", "Cd", "Sn", "Sn", "Hg", "Hg"], "frac_coords": [[0.085, 0.284, 0.049], [0.195, 0.805, 0.750], [0.284, 0.085, 0.549], [0.389, 0.392, 0.850], [0.392, 0.389, 0.350], [0.608, 0.611, 0.650], [0.611, 0.608, 0.150], [0.716, 0.915, 0.451], [0.805, 0.195, 0.250], [0.915, 0.716, 0.951], [0.179, 0.821, 0.250], [0.821, 0.179, 0.750], [0.000, 0.500, 0.500], [0.500, 0.000, 0.000]], "ef_ev_per_fu": 0.42, "relative_energy_mev_per_atom": 0, "space_group": "C2/c (15)", "e_tot_ev_per_cell": -16.92, "vol_a3_per_atom": 24.5, "crystal_system": "monoclinic"}

=====

(3)
{"formula": "Cd5Sn2Hg", "functional": "PBE", "state": "relaxed", "lattice_angstrom": [[-2.313, 2.313, 9.061], [2.313, -2.313, 9.061], [2.313, 2.313, -9.061]], "species": ["Cd", "Cd", "Cd", "Cd", "Cd", "Sn", "Sn", "Hg"], "frac_coords": [[0.000, 0.000, 0.000], [0.119, 0.619, 0.500], [0.381, 0.881, 0.500], [0.619, 0.119, 0.500], [0.881, 0.381, 0.500], [0.248, 0.248, 0.000], [0.752, 0.752, 0.000], [0.500, 0.500, 0.000]], "ef_ev_per_fu": 0.33, "space_group": "I4/mmm (139)", "e_tot_ev_per_cell": -12.55, "vol_a3_per_atom": 24.2, "crystal_system": "tetragonal"}